1.
DFT (PBE) results for a geometry-optimized Ba2TaTc structure.

Calculated values
**Offset from the most stable computed form**: 885 meV/atom
**Electronic total energy**: -5.229 eV per atom

The structure in CIF format:
```
data_Ba2TaTc
_cell_length_a 4.288
_cell_length_b 4.288
_cell_length_c 11.399
_cell_angle_alpha 90.00
_cell_angle_beta 90.00
_cell_angle_gamma 90.00
_symmetry_space_group_name_H-M 'I 4/m m m'
_symmetry_Int_Tables_number 139
_symmetry_space_group_name_Hall '-I 4 2'
loop_
_atom_site_label
_atom_site_type_symbol
_atom_site_fract_x
_atom_site_fract_y
_atom_site_fract_z
Ba1 Ba 0.000 0.500 0.250
Ta1 Ta 0.000 0.000 0.000
Tc1 Tc 0.000 0.000 0.500
```

2.
DFT (PBE) results for a geometry-optimized Ba2TaTc structure.

Calculated values
**Offset from the most stable computed form**: 48 meV/atom
**Electronic total energy**: -6.066 eV per atom

The structure in CIF format:
```
data_Ba2TaTc
_cell_length_a 3.463
_cell_length_b 3.532
_cell_length_c 10.348
_cell_angle_alpha 90.00
_cell_angle_beta 99.41
_cell_angle_gamma 90.00
_symmetry_space_group_name_H-M 'P 1 m 1'
_symmetry_Int_Tables_number 6
_symmetry_space_group_name_Hall 'P -2y'
loop_
_atom_site_label
_atom_site_type_symbol
_atom_site_fract_x
_atom_site_fract_y
_atom_site_fract_z
Ba1 Ba 0.000 0.000 0.000
Ba2 Ba 0.199 0.500 0.388
Ta1 Ta 0.367 0.500 0.728
Tc1 Tc 0.821 0.000 0.635
```

3.
DFT (PBE) results for a geometry-optimized BaTa2Tc structure.

Calculated values
**Offset from the most stable computed form**: 223 meV/atom
**Electronic total energy**: -8.303 eV per atom

The structure in CIF format:
```
data_BaTa2Tc
_cell_length_a 3.290
_cell_length_b 4.373
_cell_length_c 14.832
_cell_angle_alpha 90.00
_cell_angle_beta 90.00
_cell_angle_gamma 90.00
_symmetry_space_group_name_H-M 'I m m 2'
_symmetry_Int_Tables_number 44
_symmetry_space_group_name_Hall 'I 2 -2'
loop_
_atom_site_label
_atom_site_type_symbol
_atom_site_fract_x
_atom_site_fract_y
_atom_site_fract_z
Ba1 Ba 0.000 0.000 0.000
Ta1 Ta 0.000 0.000 0.669
Ta2 Ta 0.000 0.500 0.785
Tc1 Tc 0.000 0.500 0.297
```

4.
DFT (PBE) results for a geometry-optimized BaTa2Tc structure.

Calculated values
**Offset from the most stable computed form**: 621 meV/atom
**Electronic total energy**: -7.905 eV per atom

The structure in CIF format:
```
data_BaTa2Tc
_cell_length_a 6.911
_cell_length_b 6.911
_cell_length_c 6.911
_cell_angle_alpha 90.00
_cell_angle_beta 90.00
_cell_angle_gamma 90.00
_symmetry_space_group_name_H-M 'F -4 3 m'
_symmetry_Int_Tables_number 216
_symmetry_space_group_name_Hall 'F -4 2 3'
loop_
_atom_site_label
_atom_site_type_symbol
_atom_site_fract_x
_atom_site_fract_y
_atom_site_fract_z
Ba1 Ba 0.000 0.000 0.000
Ta1 Ta 0.000 0.000 0.500
Ta2 Ta 0.250 0.250 0.250
Tc1 Tc 0.250 0.250 0.750
```

5.
DFT (PBE) results for a geometry-optimized BaTa2Tc structure.

Calculated values
**Offset from the most stable computed form**: 850 meV/atom
**Electronic total energy**: -7.675 eV per atom

The structure in CIF format:
```
data_BaTa2Tc
_cell_length_a 4.035
_cell_length_b 4.035
_cell_length_c 5.199
_cell_angle_alpha 90.00
_cell_angle_beta 90.00
_cell_angle_gamma 90.00
_symmetry_space_group_name_H-M 'P 4/m m m'
_symmetry_Int_Tables_number 123
_symmetry_space_group_name_Hall '-P 4 2'
loop_
_atom_site_label
_atom_site_type_symbol
_atom_site_fract_x
_atom_site_fract_y
_atom_site_fract_z
Ba1 Ba 0.000 0.000 0.000
Ta1 Ta 0.000 0.500 0.500
Tc1 Tc 0.500 0.500 0.000
```

6.
DFT (PBE) results for a geometry-optimized BaTa2Tc structure.

Calculated values
**Offset from the most stable computed form**: 613 meV/atom
**Electronic total energy**: -7.912 eV per atom

The structure in CIF format:
```
data_BaTa2Tc
_cell_length_a 6.848
_cell_length_b 6.848
_cell_length_c 6.848
_cell_angle_alpha 90.00
_cell_angle_beta 90.00
_cell_angle_gamma 90.00
_symmetry_space_group_name_H-M 'F m -3 m'
_symmetry_Int_Tables_number 225
_symmetry_space_group_name_Hall '-F 4 2 3'
loop_
_atom_site_label
_atom_site_type_symbol
_atom_site_fract_x
_atom_site_fract_y
_atom_site_fract_z
Ba1 Ba 0.000 0.000 0.000
Ta1 Ta 0.250 0.250 0.250
Tc1 Tc 0.000 0.000 0.500
```

7.
DFT (PBE) results for a geometry-optimized BaTa2Tc structure.

Calculated values
**Offset from the most stable computed form**: 55 meV/atom
**Electronic total energy**: -8.471 eV per atom

The structure in CIF format:
```
data_BaTa2Tc
_cell_length_a 3.112
_cell_length_b 4.281
_cell_length_c 7.407
_cell_angle_alpha 90.00
_cell_angle_beta 91.48
_cell_angle_gamma 90.00
_symmetry_space_group_name_H-M 'P 1 m 1'
_symmetry_Int_Tables_number 6
_symmetry_space_group_name_Hall 'P -2y'
loop_
_atom_site_label
_atom_site_type_symbol
_atom_site_fract_x
_atom_site_fract_y
_atom_site_fract_z
Ba1 Ba 0.000 0.000 0.000
Ta1 Ta 0.322 0.000 0.533
Ta2 Ta 0.857 0.500 0.361
Tc1 Tc 0.671 0.500 0.670
```

8.
DFT (PBE) results for a geometry-optimized BaTaTc structure.

Calculated values
**Offset from the most stable computed form**: 1959 meV/atom
**Electronic total energy**: -5.594 eV per atom

The structure in CIF format:
```
data_BaTaTc
_cell_length_a 6.609
_cell_length_b 6.609
_cell_length_c 6.609
_cell_angle_alpha 90.00
_cell_angle_beta 90.00
_cell_angle_gamma 90.00
_symmetry_space_group_name_H-M 'F -4 3 m'
_symmetry_Int_Tables_number 216
_symmetry_space_group_name_Hall 'F -4 2 3'
loop_
_atom_site_label
_atom_site_type_symbol
_atom_site_fract_x
_atom_site_fract_y
_atom_site_fract_z
Ba1 Ba 0.000 0.000 0.000
Ta1 Ta 0.250 0.250 0.750
Tc1 Tc 0.250 0.250 0.250
```

9.
DFT (PBE) results for a geometry-optimized BaTa2Tc structure.

Calculated values
**Offset from the most stable computed form**: 162 meV/atom
**Electronic total energy**: -8.364 eV per atom

The structure in CIF format:
```
data_BaTa2Tc
_cell_length_a 3.364
_cell_length_b 4.997
_cell_length_c 10.229
_cell_angle_alpha 90.00
_cell_angle_beta 90.00
_cell_angle_gamma 90.00
_symmetry_space_group_name_H-M 'C m m 2'
_symmetry_Int_Tables_number 35
_symmetry_space_group_name_Hall 'C 2 -2'
loop_
_atom_site_label
_atom_site_type_symbol
_atom_site_fract_x
_atom_site_fract_y
_atom_site_fract_z
Ba1 Ba 0.000 0.000 0.000
Ta1 Ta 0.000 0.000 0.537
Ta2 Ta 0.000 0.500 0.316
Tc1 Tc 0.000 0.500 0.728
```

10.
DFT (PBE) results for a geometry-optimized Ba2TaTc structure.

Calculated values
**Offset from the most stable computed form**: 234 meV/atom
**Electronic total energy**: -5.881 eV per atom

The structure in CIF format:
```
data_Ba2TaTc
_cell_length_a 3.676
_cell_length_b 5.890
_cell_length_c 11.732
_cell_angle_alpha 90.00
_cell_angle_beta 90.00
_cell_angle_gamma 90.00
_symmetry_space_group_name_H-M 'I m m 2'
_symmetry_Int_Tables_number 44
_symmetry_space_group_name_Hall 'I 2 -2'
loop_
_atom_site_label
_atom_site_type_symbol
_atom_site_fract_x
_atom_site_fract_y
_atom_site_fract_z
Ba1 Ba 0.000 0.000 0.000
Ba2 Ba 0.000 0.500 0.207
Ta1 Ta 0.000 0.500 0.805
Tc1 Tc 0.000 0.000 0.439
```

11.
DFT (PBE) results for a geometry-optimized BaTaTc structure.

Calculated values
**Offset from the most stable computed form**: 0 meV/atom
**Electronic total energy**: -7.553 eV per atom

The structure in CIF format:
```
data_BaTaTc
_cell_length_a 3.374
_cell_length_b 3.374
_cell_length_c 13.314
_cell_angle_alpha 90.00
_cell_angle_beta 90.00
_cell_angle_gamma 90.00
_symmetry_space_group_name_H-M 'I 4 m m'
_symmetry_Int_Tables_number 107
_symmetry_space_group_name_Hall 'I 4 -2'
loop_
_atom_site_label
_atom_site_type_symbol
_atom_site_fract_x
_atom_site_fract_y
_atom_site_fract_z
Ba1 Ba 0.000 0.000 0.000
Ta1 Ta 0.000 0.000 0.275
Tc1 Tc 0.000 0.000 0.695
```

12.
DFT (PBE) results for a geometry-optimized Ba2TaTc structure.

Calculated values
**Offset from the most stable computed form**: 957 meV/atom
**Electronic total energy**: -5.158 eV per atom

The structure in CIF format:
```
data_Ba2TaTc
_cell_length_a 3.089
_cell_length_b 5.615
_cell_length_c 6.088
_cell_angle_alpha 90.00
_cell_angle_beta 90.38
_cell_angle_gamma 90.00
_symmetry_space_group_name_H-M 'P 1 2/m 1'
_symmetry_Int_Tables_number 10
_symmetry_space_group_name_Hall '-P 2y'
loop_
_atom_site_label
_atom_site_type_symbol
_atom_site_fract_x
_atom_site_fract_y
_atom_site_fract_z
Ba1 Ba 0.004 0.000 0.252
Ta1 Ta 0.500 0.500 0.000
Tc1 Tc 0.500 0.500 0.500
```

13.
DFT (PBE) results for a geometry-optimized BaTaTc structure.

Calculated values
**Offset from the most stable computed form**: 226 meV/atom
**Electronic total energy**: -7.326 eV per atom

The structure in CIF format:
```
data_BaTaTc
_cell_length_a 3.459
_cell_length_b 5.262
_cell_length_c 15.497
_cell_angle_alpha 90.00
_cell_angle_beta 90.00
_cell_angle_gamma 90.00
_symmetry_space_group_name_H-M 'F m m 2'
_symmetry_Int_Tables_number 42
_symmetry_space_group_name_Hall 'F 2 -2'
loop_
_atom_site_label
_atom_site_type_symbol
_atom_site_fract_x
_atom_site_fract_y
_atom_site_fract_z
Ba1 Ba 0.000 0.000 0.000
Ta1 Ta 0.000 0.000 0.294
Tc1 Tc 0.000 0.000 0.679
```

14.
DFT (PBE) results for a geometry-optimized Ba2TaTc structure.

Calculated values
**Offset from the most stable computed form**: 1018 meV/atom
**Electronic total energy**: -5.096 eV per atom

The structure in CIF format:
```
data_Ba2TaTc
_cell_length_a 4.519
_cell_length_b 4.534
_cell_length_c 10.658
_cell_angle_alpha 90.00
_cell_angle_beta 90.00
_cell_angle_gamma 90.00
_symmetry_space_group_name_H-M 'C m m m'
_symmetry_Int_Tables_number 65
_symmetry_space_group_name_Hall '-C 2 2'
loop_
_atom_site_label
_atom_site_type_symbol
_atom_site_fract_x
_atom_site_fract_y
_atom_site_fract_z
Ba1 Ba 0.000 0.000 0.232
Ta1 Ta 0.000 0.500 0.500
Tc1 Tc 0.000 0.500 0.000
```

15.
DFT (PBE) results for a geometry-optimized BaTa4Tc2 structure.

Calculated values
**Electronic total energy**: -7.766 eV per atom

The structure in CIF format:
```
data_BaTa4Tc2
_cell_length_a 5.067
_cell_length_b 5.067
_cell_length_c 12.946
_cell_angle_alpha 90.00
_cell_angle_beta 90.00
_cell_angle_gamma 90.00
_symmetry_space_group_name_H-M 'I 4/m m m'
_symmetry_Int_Tables_number 139
_symmetry_space_group_name_Hall '-I 4 2'
loop_
_atom_site_label
_atom_site_type_symbol
_atom_site_fract_x
_atom_site_fract_y
_atom_site_fract_z
Ba1 Ba 0.000 0.000 0.000
Ta1 Ta 0.000 0.000 0.215
Ta2 Ta 0.000 0.500 0.000
Tc1 Tc 0.000 0.000 0.394
```

16.
DFT (PBE) results for a geometry-optimized BaTa2Tc structure.

Calculated values
**Offset from the most stable computed form**: 224 meV/atom
**Electronic total energy**: -8.302 eV per atom

The structure in CIF format:
```
data_BaTa2Tc
_cell_length_a 9.909
_cell_length_b 3.383
_cell_length_c 6.347
_cell_angle_alpha 90.00
_cell_angle_beta 106.46
_cell_angle_gamma 90.00
_symmetry_space_group_name_H-M 'C 1 2/m 1'
_symmetry_Int_Tables_number 12
_symmetry_space_group_name_Hall '-C 2y'
loop_
_atom_site_label
_atom_site_type_symbol
_atom_site_fract_x
_atom_site_fract_y
_atom_site_fract_z
Ba1 Ba 0.000 0.000 0.000
Ta1 Ta 0.198 0.000 0.626
Tc1 Tc 0.000 0.500 0.500
```

17.
DFT (PBE) results for a geometry-optimized BaTaTc3 structure.

Calculated values
**Offset from the most stable computed form**: 0 meV/atom
**Electronic total energy**: -7.698 eV per atom

The structure in CIF format:
```
data_BaTaTc3
_cell_length_a 4.939
_cell_length_b 4.939
_cell_length_c 4.939
_cell_angle_alpha 90.00
_cell_angle_beta 90.00
_cell_angle_gamma 90.00
_symmetry_space_group_name_H-M 'P m -3 m'
_symmetry_Int_Tables_number 221
_symmetry_space_group_name_Hall '-P 4 2 3'
loop_
_atom_site_label
_atom_site_type_symbol
_atom_site_fract_x
_atom_site_fract_y
_atom_site_fract_z
Ba1 Ba 0.000 0.000 0.000
Ta1 Ta 0.500 0.500 0.500
Tc1 Tc 0.000 0.500 0.500
```

18.
DFT (PBE) results for a geometry-optimized BaTa2Tc structure.

Calculated values
**Offset from the most stable computed form**: 153 meV/atom
**Electronic total energy**: -8.373 eV per atom

The structure in CIF format:
```
data_BaTa2Tc
_cell_length_a 3.402
_cell_length_b 5.015
_cell_length_c 10.288
_cell_angle_alpha 90.00
_cell_angle_beta 90.00
_cell_angle_gamma 90.00
_symmetry_space_group_name_H-M 'C m m m'
_symmetry_Int_Tables_number 65
_symmetry_space_group_name_Hall '-C 2 2'
loop_
_atom_site_label
_atom_site_type_symbol
_atom_site_fract_x
_atom_site_fract_y
_atom_site_fract_z
Ba1 Ba 0.000 0.000 0.000
Ta1 Ta 0.000 0.500 0.309
Tc1 Tc 0.000 0.000 0.500
```

19.
DFT (PBE) results for a geometry-optimized Ba2TaTc structure.

Calculated values
**Offset from the most stable computed form**: 1091 meV/atom
**Electronic total energy**: -5.024 eV per atom

The structure in CIF format:
```
data_Ba2TaTc
_cell_length_a 3.3298
_cell_length_b 3.3298
_cell_length_c 33.6711
_cell_angle_alpha 90.00
_cell_angle_beta 90.00
_cell_angle_gamma 120.00
_symmetry_space_group_name_H-M 'R -3 m'
_symmetry_Int_Tables_number 166
_symmetry_space_group_name_Hall '-R 3 2"'
loop_
_atom_site_label
_atom_site_type_symbol
_atom_site_fract_x
_atom_site_fract_y
_atom_site_fract_z
Ba1 Ba 0.0000 0.0000 0.2449
Ta1 Ta 0.0000 0.0000 0.0000
Tc1 Tc 0.0000 0.0000 0.5000
```

20.
DFT (PBE) results for a geometry-optimized Ba2TaTc structure.

Calculated values
**Offset from the most stable computed form**: 606 meV/atom
**Electronic total energy**: -5.509 eV per atom

The structure in CIF format:
```
data_Ba2TaTc
_cell_length_a 12.375
_cell_length_b 12.375
_cell_length_c 4.694
_cell_angle_alpha 90.00
_cell_angle_beta 90.00
_cell_angle_gamma 90.00
_symmetry_space_group_name_H-M 'I -4 2 d'
_symmetry_Int_Tables_number 122
_symmetry_space_group_name_Hall 'I -4 2bw'
loop_
_atom_site_label
_atom_site_type_symbol
_atom_site_fract_x
_atom_site_fract_y
_atom_site_fract_z
Ba1 Ba 0.071 0.750 0.125
Ta1 Ta 0.000 0.000 0.500
Tc1 Tc 0.000 0.000 0.000
```

| no. | ρ (g/cm3) | formation energy (eV/atom) | DOS at the Fermi energy (states/eV per cell) |
| --- | --- | --- | --- |
| 1 | 8.77 | 1.287 | 7.0 |
| 2 | 7.36 | 0.450 | 5.2 |
| 3 | 9.29 | 0.696 | 9.6 |
| 4 | 12.02 | 1.094 | 13.6 |
| 5 | 11.71 | 1.323 | 4.8 |
| 6 | 12.35 | 1.086 | 18.8 |
| 7 | 10.05 | 0.528 | 2.8 |
| 8 | 9.58 | 2.454 | 16.2 |
| 9 | 11.53 | 0.635 | 8.8 |
| 10 | 7.24 | 0.636 | 11.0 |
| 11 | 9.12 | 0.495 | 7.8 |
| 12 | 8.71 | 1.358 | 3.7 |
| 13 | 9.80 | 0.721 | 6.2 |
| 14 | 8.42 | 1.420 | 11.5 |
| 15 | 10.56 | 2.243 | 17.2 |
| 16 | 9.72 | 0.697 | 8.8 |
| 17 | 8.44 | 1.276 | 8.1 |
| 18 | 11.30 | 0.626 | 7.5 |
| 19 | 8.53 | 1.493 | 17.1 |
| 20 | 5.12 | 1.007 | 30.2 |